# 1
# MgSb2Cl, optimized geometry, DFT PBE-GGA
# ΔE to the lowest computed polymorph (meV/atom): 510.1
# Formation energy without anion corrections (meV/atom): -24.7
data_MgSb2Cl
_space_group_name_H-M_alt 'P 1'
_space_group_IT_number 1
_cell_length_a 9.749
_cell_length_b 9.749
_cell_length_c 9.749
_cell_angle_alpha 20.48
_cell_angle_beta 20.48
_cell_angle_gamma 20.48
loop_
_space_group_symop_operation_xyz
'x,y,z'
loop_
_atom_site_label
_atom_site_type_symbol
_atom_site_fract_x
_atom_site_fract_y
_atom_site_fract_z
_atom_site_occupancy
Mg1 Mg 0.000 0.000 0.000 1
Sb1 Sb 0.251 0.251 0.251 1
Sb2 Sb 0.749 0.749 0.749 1
Cl1 Cl 0.500 0.500 0.500 1


# 2
# CdSn2S, optimized geometry, DFT PBE-GGA
# ΔE to the lowest computed polymorph (meV/atom): 44.3
# Formation energy without anion corrections (meV/atom): 41.6
data_CdSn2S
_space_group_name_H-M_alt 'P 1'
_space_group_IT_number 1
_cell_length_a 7.824
_cell_length_b 7.824
_cell_length_c 7.824
_cell_angle_alpha 131.92
_cell_angle_beta 131.92
_cell_angle_gamma 70.35
loop_
_space_group_symop_operation_xyz
'x,y,z'
loop_
_atom_site_label
_atom_site_type_symbol
_atom_site_fract_x
_atom_site_fract_y
_atom_site_fract_z
_atom_site_occupancy
Cd1 Cd 0.000 0.000 0.000 1
Cd2 Cd 0.750 0.250 0.500 1
Sn1 Sn 0.141 0.625 0.016 1
Sn2 Sn 0.375 0.391 0.516 1
Sn3 Sn 0.609 0.125 0.984 1
Sn4 Sn 0.875 0.859 0.484 1
S1 S 0.250 0.750 0.500 1
S2 S 0.500 0.500 0.000 1


# 3
# CeTm2Pu3Se6, optimized geometry, DFT PBE-GGA
# Formation energy without anion corrections (meV/atom): -1644.0
data_CeTm2Pu3Se6
_space_group_name_H-M_alt 'P 1'
_space_group_IT_number 1
_cell_length_a 9.183
_cell_length_b 9.183
_cell_length_c 8.246
_cell_angle_alpha 102.36
_cell_angle_beta 102.36
_cell_angle_gamma 25.76
loop_
_space_group_symop_operation_xyz
'x,y,z'
loop_
_atom_site_label
_atom_site_type_symbol
_atom_site_fract_x
_atom_site_fract_y
_atom_site_fract_z
_atom_site_occupancy
Ce1 Ce 0.000 0.000 0.000 1
Tm1 Tm 0.333 0.333 0.663 1
Tm2 Tm 0.667 0.667 0.337 1
Pu1 Pu 0.000 0.000 0.500 1
Pu2 Pu 0.336 0.336 0.164 1
Pu3 Pu 0.664 0.664 0.836 1
Se1 Se 0.170 0.170 0.094 1
Se2 Se 0.170 0.170 0.580 1
Se3 Se 0.496 0.496 0.744 1
Se4 Se 0.504 0.504 0.256 1
Se5 Se 0.830 0.830 0.420 1
Se6 Se 0.830 0.830 0.906 1